Compound: La7Pm4Er
Source: Alexandria via LeMat-Bulk
Functional: PBE-GGA
Structure: optimized geometry

Properties
N(E_F) = 20.41 states/eV per cell
E_tot = -55.5 eV/cell
polymorph energy (0 for the lowest one) = 2.390 eV per formula unit
space-group type = C2/m
ΔE_f = 217.2 meV per atom

Lattice parameters (Å, degrees): 6.149 9.429 8.953 64.75 69.92 70.97
Sites, in units of the cell vectors:
La 0.739 0.299 0.223
Pm 0.455 0.714 0.375
La 0.809 0.894 0.489
Pm 0.545 0.286 0.625
Er 0.000 0.000 0.000
La 0.261 0.701 0.777
La 0.079 0.569 0.273
La 0.191 0.106 0.511
La 0.921 0.431 0.727
Pm 0.317 0.328 0.039
La 0.500 0.000 0.000
Pm 0.683 0.672 0.961